VASP calculation (PBE-GGA) on a relaxed Dy2Bi2O7 crystal.

For the uncorrected formation energy, the calculation gives -2.13 eV per atom.

It has space group Cm (No. 8), with a = 7.4623 Å, b = 8.2578 Å, c = 5.3983 Å, α = 90.00°, β = 94.91° and γ = 90.00°. The inequivalent atoms are Dy at (0.0000, 0.2321, 0.0000), Bi at (0.2636, 0.0000, 0.4644), Bi at (0.2729, 0.5000, 0.5004), O at (0.0186, 0.0000, 0.7508), O at (0.0566, 0.5000, 0.2250), O at (0.2080, 0.3064, 0.7257), O at (0.2652, 0.2014, 0.2112) and O at (0.4809, 0.5000, 0.2497).

=====

VASP calculation (PBE-GGA) on a relaxed DyBiO crystal.

For the uncorrected formation energy, the calculation gives -1.92 eV per atom.

It has space group P-3m1 (No. 164), with a = 3.8032 Å, b = 3.8032 Å, c = 10.8173 Å, α = 90.00°, β = 90.00° and γ = 120.00°. The inequivalent atoms are Dy at (0.3333, 0.6667, 0.3661), Bi at (0.3333, 0.6667, 0.8883) and O at (0.3333, 0.6667, 0.5809).

=====

VASP calculation (PBE-GGA) on a relaxed DyBiO crystal.

For the uncorrected formation energy, the calculation gives -2.11 eV per atom.

It has space group C2/m (No. 12), with a = 5.4532 Å, b = 5.4405 Å, c = 9.4199 Å, α = 90.00°, β = 92.25° and γ = 90.00°. The inequivalent atoms are Dy at (0.2430, 0.0000, 0.3810), Bi at (0.2206, 0.5000, 0.1243) and O at (0.0000, 0.2495, 0.5000).

=====

VASP calculation (PBE-GGA) on a relaxed Dy12Bi3O5 crystal.

For the uncorrected formation energy, the calculation gives -1.61 eV per atom.

It has space group Ia-3d (No. 230), with a = 15.7147 Å, b = 15.7147 Å, c = 15.7147 Å, α = 90.00°, β = 90.00° and γ = 90.00°. The inequivalent atoms are Dy at (0.0431, 0.0461, 0.6464), Bi at (0.0000, 0.2500, 0.1250), O at (0.0000, 0.0000, 0.0000) and O at (0.0000, 0.2500, 0.3750).